Record 1
First-principles (PBE) data for a relaxed structure of CdP, as listed in Alexandria via LeMat-Bulk.

Results
* polymorph energy (0 for the lowest one): 171 meV/atom
* formation energy: 0.129 eV/atom

Cell: 6.3851 6.3851 6.8782 Å, 102.99 102.99 30.53°
Fractional positions:
Cd  0.0000  0.0000  0.0000
Cd  0.5033  0.5033  0.6499
Cd  0.7652  0.7652  0.7379
P  0.2176  0.2176  0.0892
P  0.7697  0.7697  0.3076
P  0.9506  0.9506  0.3425

***

Record 2
First-principles (PBE) data for a relaxed structure of CaCd2Hg7, as listed in Alexandria via LeMat-Bulk.

Results
* polymorph energy (0 for the lowest one): 0 meV/atom
* formation energy: -0.087 eV/atom

Cell: 13.5469 13.5469 3.2886 Å, 90.00 90.00 154.59°
Fractional positions:
Ca  0.0000  0.0000  0.0000
Cd  0.2990  0.7010  0.5000
Cd  0.7010  0.2990  0.5000
Hg  0.1459  0.3463  0.5000
Hg  0.2008  0.7992  0.0000
Hg  0.3463  0.1459  0.5000
Hg  0.5000  0.5000  0.5000
Hg  0.6537  0.8541  0.5000
Hg  0.7992  0.2008  0.0000
Hg  0.8541  0.6537  0.5000

***

Record 3
First-principles (PBE) data for a relaxed structure of LiSi3C, as listed in Alexandria via LeMat-Bulk.

Results
* polymorph energy (0 for the lowest one): 0 meV/atom
* E_form (uncorrected): 819.8 meV/atom

Cell: 4.1000 4.1000 4.1000 Å, 90.00 90.00 90.00°
Fractional positions:
Li  0.0000  0.0000  0.0000
Si  0.0000  0.5000  0.5000
Si  0.5000  0.0000  0.5000
Si  0.5000  0.5000  0.0000
C  0.5000  0.5000  0.5000

***

Record 4
First-principles (PBE) data for a relaxed structure of TbSeS, as listed in Alexandria via LeMat-Bulk.

Results
* polymorph energy (0 for the lowest one): 45 meV/atom
* E_form (uncorrected): -1632.1 meV/atom

Cell: 8.7035 8.7035 8.7035 Å, 153.62 153.62 37.65°
Fractional positions:
Tb  0.1460  0.1460  0.0000
Tb  0.8540  0.8540  0.0000
Se  0.0000  0.5000  0.5000
Se  0.5000  0.0000  0.5000
S  0.3152  0.3152  0.0000
S  0.6848  0.6848  0.0000

***

Record 5
First-principles (PBE) data for a relaxed structure of Rb5Cd2, as listed in Alexandria via LeMat-Bulk.

Results
* formation energy: -0.005 eV/atom

Cell: 11.2110 11.2110 10.2451 Å, 97.08 97.08 43.43°
Fractional positions:
Rb  0.1038  0.8962  0.7500
Rb  0.1404  0.3033  0.3221
Rb  0.2810  0.5414  0.0738
Rb  0.3033  0.1404  0.8221
Rb  0.4586  0.7190  0.4262
Rb  0.5414  0.2810  0.5738
Rb  0.6967  0.8596  0.1779
Rb  0.7190  0.4586  0.9262
Rb  0.8596  0.6967  0.6779
Rb  0.8962  0.1038  0.2500
Cd  0.0893  0.6966  0.4191
Cd  0.3034  0.9107  0.0809
Cd  0.6966  0.0893  0.9191
Cd  0.9107  0.3034  0.5809

***

Record 6
First-principles (PBE) data for a relaxed structure of ScB2O, as listed in Alexandria via LeMat-Bulk.

Results
* E_form (uncorrected): 271.3 meV/atom

Cell: 4.8537 4.8537 4.8537 Å, 113.19 113.19 102.26°
Fractional positions:
Sc  0.0000  0.0000  0.0000
Sc  0.7500  0.2500  0.5000
B  0.2339  0.6250  0.1089
B  0.3750  0.4839  0.6089
B  0.5161  0.1250  0.8911
B  0.8750  0.7661  0.3911
O  0.2500  0.7500  0.5000
O  0.5000  0.5000  0.0000

***

Record 7
First-principles (PBE) data for a relaxed structure of Be2SbBr, as listed in Alexandria via LeMat-Bulk.

Results
* polymorph energy (0 for the lowest one): 380 meV/atom
* E_form (uncorrected): 340.9 meV/atom

Cell: 3.5353 3.5353 6.7295 Å, 90.00 90.00 90.00°
Fractional positions:
Be  0.0000  0.0000  0.0000
Be  0.5000  0.5000  0.2302
Sb  0.5000  0.5000  0.8760
Br  0.0000  0.0000  0.3590

***

Record 8
First-principles (PBE) data for a relaxed structure of ZrTe3I, as listed in Alexandria via LeMat-Bulk.

Results
* polymorph energy (0 for the lowest one): 1112 meV/atom
* E_form (uncorrected): 991.4 meV/atom

Cell: 5.7259 5.7259 5.7259 Å, 90.00 90.00 90.00°
Fractional positions:
Zr  0.0000  0.0000  0.0000
Te  0.0000  0.5000  0.5000
Te  0.5000  0.0000  0.5000
Te  0.5000  0.5000  0.0000
I  0.5000  0.5000  0.5000

***

Ordered E_tot results: -3.0331; -0.6811; -4.6616; -5.7128; -0.9577; -5.8898; -2.9710; -2.9133; unit eV/atom.